# 1
## AcSmIn3 (PBE)

Data for a geometry-optimized AcSmIn3 structure.

Cell: 4.747 4.545 14.692 Å, 98.90 90.00 90.00°
Atoms (fractional coordinates):
Ac  0.250  0.076  0.153
Ac  0.750  0.924  0.847
Sm  0.250  0.794  0.589
Sm  0.750  0.206  0.411
In  0.250  0.376  0.752
In  0.750  0.624  0.248
In  0.250  0.474  0.949
In  0.750  0.526  0.051
In  0.750  0.317  0.633
In  0.250  0.683  0.367

## Properties
electronic total energy = -3.85 eV/atom



# 2
## Ac3SmIn (PBE)

Data for a geometry-optimized Ac3SmIn structure.

Cell: 5.256 5.253 13.776 Å, 90.00 79.00 90.00°
Atoms (fractional coordinates):
Ac  0.769  0.250  0.111
Ac  0.382  0.250  0.884
Ac  0.574  0.250  0.501
Ac  0.266  0.750  0.116
Ac  0.880  0.750  0.889
Ac  0.074  0.750  0.499
Sm  0.477  0.750  0.694
Sm  0.171  0.250  0.306
In  0.671  0.750  0.307
In  0.978  0.250  0.693

## Properties
E above lowest polymorph = 0 meV/atom
electronic total energy = -4.08 eV/atom



# 3
## AcSm3In (PBE)

Data for a geometry-optimized AcSm3In structure.

Cell: 6.317 8.180 8.180 Å, 120.00 90.00 90.00°
Atoms (fractional coordinates):
Ac  0.750  0.667  0.333
Ac  0.250  0.333  0.667
Sm  0.750  0.619  0.810
Sm  0.250  0.810  0.619
Sm  0.250  0.381  0.190
Sm  0.750  0.190  0.381
Sm  0.250  0.810  0.190
Sm  0.750  0.190  0.810
In  0.000  0.000  0.000
In  0.500  0.000  0.000

## Properties
E above lowest polymorph = 98 meV/atom
electronic total energy = -4.17 eV/atom



# 4
## AcSm6In5 (PBE)

Data for a geometry-optimized AcSm6In5 structure.

Cell: 10.348 5.122 8.149 Å, 71.68 81.05 60.33°
Atoms (fractional coordinates):
Ac  0.000  0.000  0.000
Sm  0.739  0.089  0.345
Sm  0.261  0.566  0.345
Sm  0.272  0.228  0.000
Sm  0.728  0.772  0.000
Sm  0.739  0.434  0.655
Sm  0.261  0.911  0.655
In  0.500  0.169  0.663
In  0.000  0.341  0.319
In  0.500  0.500  0.000
In  0.000  0.659  0.681
In  0.500  0.831  0.337

## Properties
electronic total energy = -4.19 eV/atom